1.
Density functional theory data (PBE-GGA) for a relaxed NaGa4Ir2 crystal.

spin magnetization: 0.000 Bohr magnetons per cell
electronic total energy: -3.880 eV/atom

Cell and atoms, written as extended XYZ:
```
14
Lattice="4.7286 0.0000 0.0000 0.0000 4.7286 0.0000 0.0000 0.0000 13.1900" Properties=species:S:1:pos:R:3 pbc="T T T"
Na 0.0000 0.0000 0.0000
Na 2.3643 2.3643 6.5950
Ga 0.0000 0.0000 2.9043
Ga 0.0000 0.0000 10.2857
Ga 0.0000 2.3643 0.0000
Ga 0.0000 2.3643 6.5950
Ga 2.3643 0.0000 0.0000
Ga 2.3643 0.0000 6.5950
Ga 2.3643 2.3643 3.6907
Ga 2.3643 2.3643 9.4993
Ir 0.0000 0.0000 5.3042
Ir 0.0000 0.0000 7.8858
Ir 2.3643 2.3643 1.2908
Ir 2.3643 2.3643 11.8992
```

***

2.
Density functional theory data (PBE-GGA) for a relaxed Na3GaIr crystal.

spin magnetization: 0.000 Bohr magnetons per cell
electronic total energy: -2.374 eV/atom

Cell and atoms, written as extended XYZ:
```
5
Lattice="5.4066 0.0000 0.0000 0.0000 5.4066 0.0000 0.0000 0.0000 5.4066" Properties=species:S:1:pos:R:3 pbc="T T T"
Na 0.0000 0.0000 2.7033
Na 0.0000 2.7033 0.0000
Na 2.7033 0.0000 0.0000
Ga 2.7033 2.7033 2.7033
Ir 0.0000 0.0000 0.0000
```

***

3.
Density functional theory data (PBE-GGA) for a relaxed NaGa4Ir crystal.

spin magnetization: 0.000 Bohr magnetons per cell
electronic total energy: -3.924 eV/atom

Cell and atoms, written as extended XYZ:
```
12
Lattice="2.3203 -9.1786 0.0000 2.3203 9.1786 0.0000 0.0000 0.0000 5.9405" Properties=species:S:1:pos:R:3 pbc="T T T"
Na 2.3203 7.2956 4.4554
Na 2.3203 -7.2956 1.4851
Ga 2.3203 6.4846 1.4851
Ga 2.3203 3.8905 0.0865
Ga 2.3203 3.8905 2.8838
Ga 2.3203 0.0000 0.0000
Ga 2.3203 0.0000 2.9702
Ga 2.3203 -3.8905 3.0567
Ga 2.3203 -3.8905 5.8540
Ga 2.3203 -6.4846 4.4554
Ir 2.3203 1.8630 4.4554
Ir 2.3203 -1.8630 1.4851
```

***

4.
Density functional theory data (PBE-GGA) for a relaxed NaGa9Ir2 crystal.

spin magnetization: 0.000 Bohr magnetons per cell
electronic total energy: -4.063 eV/atom

Cell and atoms, written as extended XYZ:
```
24
Lattice="-5.5768 5.5768 3.3653 5.5768 -5.5768 3.3653 5.5768 5.5768 -3.3653" Properties=species:S:1:pos:R:3 pbc="T T T"
Na 5.5768 2.7884 0.8413
Na 0.0000 2.7884 2.5240
Ga 4.2386 -0.6622 1.1524
Ga 6.9149 -0.6622 1.1524
Ga 5.5768 -2.7884 2.5240
Ga 2.1261 1.4502 0.5303
Ga 9.0274 1.4502 0.5303
Ga 4.2386 4.9145 -1.1524
Ga 1.3382 -0.6622 2.2129
Ga 2.1261 4.1265 0.5303
Ga 3.4506 -1.4502 3.8956
Ga 2.1261 7.0270 -0.5303
Ga 3.4506 1.4502 2.8351
Ga 4.2386 6.2390 1.1524
Ga 1.3382 0.6622 4.5178
Ga -3.4506 4.1265 2.8351
Ga 3.4506 4.1265 2.8351
Ga 0.0000 8.3651 0.8413
Ga -1.3382 6.2390 2.2129
Ga 1.3382 6.2390 2.2129
Ir 0.0000 0.0000 0.0000
Ir 2.7884 2.7884 -1.6827
Ir 2.7884 -2.7884 1.6827
Ir 0.0000 5.5768 0.0000
```

***

5.
Density functional theory data (PBE-GGA) for a relaxed NaGa8Ir2 crystal.

spin magnetization: 0.000 Bohr magnetons per cell
electronic total energy: -4.076 eV/atom

Cell and atoms, written as extended XYZ:
```
11
Lattice="6.2576 0.0000 0.0000 0.0000 6.2576 0.0000 0.0000 0.0000 5.3108" Properties=species:S:1:pos:R:3 pbc="T T T"
Na 0.0000 0.0000 0.0000
Ga 1.7473 1.7473 1.2975
Ga 1.7473 1.7473 4.0133
Ga 1.7473 4.5103 1.2975
Ga 1.7473 4.5103 4.0133
Ga 4.5103 1.7473 1.2975
Ga 4.5103 1.7473 4.0133
Ga 4.5103 4.5103 1.2975
Ga 4.5103 4.5103 4.0133
Ir 0.0000 3.1288 2.6554
Ir 3.1288 0.0000 2.6554
```

***

6.
Density functional theory data (PBE-GGA) for a relaxed NaGa6Ir3 crystal.

spin magnetization: 0.000 Bohr magnetons per cell
electronic total energy: -4.833 eV/atom

Cell and atoms, written as extended XYZ:
```
20
Lattice="8.9223 0.0000 0.0000 0.0000 3.1966 0.0000 -2.7277 0.0000 11.4548" Properties=species:S:1:pos:R:3 pbc="T T T"
Na -0.6227 0.7991 2.8230
Na 6.8173 2.3974 8.6318
Ga -0.2673 2.3974 5.1087
Ga -0.8985 0.7991 10.5772
Ga 0.0429 0.7991 7.5071
Ga 2.0133 0.7991 2.6138
Ga 3.6433 2.3974 0.8598
Ga 2.2001 2.3974 7.2057
Ga 3.9945 0.7991 4.2491
Ga 2.5513 0.7991 10.5950
Ga 4.1813 2.3974 8.8410
Ga 6.1517 2.3974 3.9478
Ga 7.0931 2.3974 0.8777
Ga 6.4619 0.7991 6.3462
Ir 0.9780 2.3974 0.8855
Ir 1.6636 0.7991 5.2592
Ir 0.8539 2.3974 9.4772
Ir 5.3407 0.7991 1.9777
Ir 4.5310 2.3974 6.1956
Ir 5.2166 0.7991 10.5693
```

***

7.
Density functional theory data (PBE-GGA) for a relaxed NaGa7Ir2 crystal.

spin magnetization: 0.000 Bohr magnetons per cell
electronic total energy: -4.240 eV/atom

Cell and atoms, written as extended XYZ:
```
10
Lattice="4.3295 -5.3809 0.0000 4.3295 5.3809 0.0000 0.0000 0.0000 4.7904" Properties=species:S:1:pos:R:3 pbc="T T T"
Na 0.0000 0.0000 0.0000
Ga 1.8896 1.3220 2.3952
Ga 4.3295 2.3052 0.0000
Ga 1.8896 -1.3220 2.3952
Ga 4.3295 0.0000 2.3952
Ga 6.7694 1.3220 2.3952
Ga 4.3295 -2.3052 0.0000
Ga 6.7694 -1.3220 2.3952
Ir 4.3295 2.4122 2.3952
Ir 4.3295 -2.4122 2.3952
```

***

8.
Density functional theory data (PBE-GGA) for a relaxed NaGa4Ir crystal.

spin magnetization: 0.000 Bohr magnetons per cell
electronic total energy: -3.864 eV/atom

Cell and atoms, written as extended XYZ:
```
12
Lattice="-3.1388 3.1388 6.0758 3.1388 -3.1388 6.0758 3.1388 3.1388 -6.0758" Properties=species:S:1:pos:R:3 pbc="T T T"
Na 0.0000 0.0000 0.0000
Na 0.0000 0.0000 6.0758
Ga 2.1957 -0.9431 1.9456
Ga 4.0820 -0.9431 4.1302
Ga 4.0820 0.9431 1.9456
Ga 2.1957 0.9431 4.1302
Ga 0.9431 2.1957 1.9456
Ga -0.9431 2.1957 4.1302
Ga -0.9431 4.0820 1.9456
Ga 0.9431 4.0820 4.1302
Ir 0.0000 0.0000 3.0379
Ir 0.0000 0.0000 9.1137
```